Compound: AcTh2Ir
Source: the Alexandria database
Functional: PBE
Structure: relaxed Values from VASP.

Cell and atoms, written as Quantum ESPRESSO input:
```
&SYSTEM
  ibrav = 0, nat = 4, ntyp = 3
/
ATOMIC_SPECIES
Ac 227.00 Ac.upf
Th 232.04 Th.upf
Ir 192.22 Ir.upf
CELL_PARAMETERS angstrom
1.9968 1.1529 10.6486
-1.9968 1.1529 10.6486
0.0000 -2.3057 10.6486
ATOMIC_POSITIONS angstrom
Ac 0.0000 0.0000 0.0000
Th 0.0000 0.0000 3.6814
Th 0.0000 0.0000 28.2645
Ir 0.0000 0.0000 15.9729
```

Computed properties:
Size of the total moment ... 0.00 Bohr magnetons per cell
Fermi-level density of states ... 5.363 states/eV/f.u.
DFT formation energy ... -0.87 eV/f.u.
ρ ... 9972 kg/m3


Compound: AcTiIr2
Source: the Alexandria database
Functional: PBE
Structure: relaxed Values from VASP.

Cell and atoms, written as Quantum ESPRESSO input:
```
&SYSTEM
  ibrav = 0, nat = 4, ntyp = 3
/
ATOMIC_SPECIES
Ac 227.00 Ac.upf
Ti 47.87 Ti.upf
Ir 192.22 Ir.upf
CELL_PARAMETERS angstrom
3.1956 0.0000 0.0000
0.0000 3.1956 0.0000
0.0000 0.0000 7.6198
ATOMIC_POSITIONS angstrom
Ac 0.0000 0.0000 0.0000
Ti 0.0000 0.0000 3.8099
Ir 1.5978 1.5978 2.3494
Ir 1.5978 1.5978 5.2704
```

Computed properties:
Size of the total moment ... 0.00 Bohr magnetons per cell
Fermi-level density of states ... 2.561 states/eV/f.u.
DFT formation energy ... -2.02 eV/f.u.
ρ ... 14069 kg/m3


Compound: AcTiIr2
Source: the Alexandria database
Functional: PBE
Structure: relaxed Values from VASP.

Cell and atoms, written as Quantum ESPRESSO input:
```
&SYSTEM
  ibrav = 0, nat = 4, ntyp = 3
/
ATOMIC_SPECIES
Ac 227.00 Ac.upf
Ti 47.87 Ti.upf
Ir 192.22 Ir.upf
CELL_PARAMETERS angstrom
2.1331 1.2315 5.6268
-2.1331 1.2315 5.6268
0.0000 -2.4630 5.6268
ATOMIC_POSITIONS angstrom
Ac 0.0000 0.0000 0.0000
Ti 0.0000 0.0000 8.4402
Ir 0.0000 0.0000 3.5801
Ir 0.0000 0.0000 13.3003
```

Computed properties:
Size of the total moment ... 0.00 Bohr magnetons per cell
Fermi-level density of states ... 2.904 states/eV/f.u.
DFT formation energy ... -2.42 eV/f.u.
ρ ... 12345 kg/m3


Compound: AcTiZnIr2
Source: the Alexandria database
Functional: PBE
Structure: relaxed Values from VASP.

Cell and atoms, written as Quantum ESPRESSO input:
```
&SYSTEM
  ibrav = 0, nat = 5, ntyp = 4
/
ATOMIC_SPECIES
Ac 227.00 Ac.upf
Ti 47.87 Ti.upf
Zn 65.41 Zn.upf
Ir 192.22 Ir.upf
CELL_PARAMETERS angstrom
-2.0969 2.0969 5.7563
2.0969 -2.0969 5.7563
2.0969 2.0969 -5.7563
ATOMIC_POSITIONS angstrom
Ac 0.0000 0.0000 0.0000
Ti 2.0969 0.0000 2.8781
Zn 0.0000 2.0969 2.8781
Ir 0.0000 0.0000 4.4191
Ir 0.0000 0.0000 7.0935
```

Computed properties:
Size of the total moment ... 0.00 Bohr magnetons per cell
Fermi-level density of states ... 2.443 states/eV/f.u.
DFT formation energy ... -3.17 eV/f.u.
ρ ... 11886 kg/m3


Compound: Ac2TlIr2
Source: the Alexandria database
Functional: PBE
Structure: relaxed Values from VASP.

Cell and atoms, written as Quantum ESPRESSO input:
```
&SYSTEM
  ibrav = 0, nat = 10, ntyp = 3
/
ATOMIC_SPECIES
Ac 227.00 Ac.upf
Tl 204.38 Tl.upf
Ir 192.22 Ir.upf
CELL_PARAMETERS angstrom
7.9878 0.0000 0.0000
0.0000 7.9878 0.0000
0.0000 0.0000 4.1623
ATOMIC_POSITIONS angstrom
Ac 1.4144 2.5794 0.0000
Ac 2.5794 6.5733 0.0000
Ac 5.4083 1.4144 0.0000
Ac 6.5733 5.4083 0.0000
Tl 0.0000 0.0000 2.0811
Tl 3.9939 3.9939 2.0811
Ir 0.9517 4.9456 2.0811
Ir 3.0422 0.9517 2.0811
Ir 4.9456 7.0360 2.0811
Ir 7.0360 3.0422 2.0811
```

Computed properties:
Size of the total moment ... 0.00 Bohr magnetons per cell
Fermi-level density of states ... 3.338 states/eV/f.u.
DFT formation energy ... -2.28 eV/f.u.
ρ ... 13041 kg/m3


Compound: AcTlIr
Source: the Alexandria database
Functional: PBE
Structure: relaxed Values from VASP.

Cell and atoms, written as Quantum ESPRESSO input:
```
&SYSTEM
  ibrav = 0, nat = 6, ntyp = 3
/
ATOMIC_SPECIES
Ac 227.00 Ac.upf
Tl 204.38 Tl.upf
Ir 192.22 Ir.upf
CELL_PARAMETERS angstrom
2.1174 -9.0295 0.0000
2.1174 9.0295 0.0000
0.0000 0.0000 4.2923
ATOMIC_POSITIONS angstrom
Ac 2.1174 7.3712 3.2192
Ac 2.1174 -7.3712 1.0731
Tl 2.1174 3.7655 3.2192
Tl 2.1174 -3.7655 1.0731
Ir 2.1174 0.9067 3.2192
Ir 2.1174 -0.9067 1.0731
```

Computed properties:
Size of the total moment ... 0.00 Bohr magnetons per cell
Fermi-level density of states ... 1.511 states/eV/f.u.
DFT formation energy ... -1.37 eV/f.u.
ρ ... 12618 kg/m3


> Fermi-level density of states of number 6 (AcTlIr)?

1.511 states/eV/f.u.


Copy entry 1 word for word.
Compound: AcTh2Ir
Source: the Alexandria database
Functional: PBE
Structure: relaxed Values from VASP.

Cell and atoms, written as Quantum ESPRESSO input:
```
&SYSTEM
  ibrav = 0, nat = 4, ntyp = 3
/
ATOMIC_SPECIES
Ac 227.00 Ac.upf
Th 232.04 Th.upf
Ir 192.22 Ir.upf
CELL_PARAMETERS angstrom
1.9968 1.1529 10.6486
-1.9968 1.1529 10.6486
0.0000 -2.3057 10.6486
ATOMIC_POSITIONS angstrom
Ac 0.0000 0.0000 0.0000
Th 0.0000 0.0000 3.6814
Th 0.0000 0.0000 28.2645
Ir 0.0000 0.0000 15.9729
```

Computed properties:
Size of the total moment ... 0.00 Bohr magnetons per cell
Fermi-level density of states ... 5.363 states/eV/f.u.
DFT formation energy ... -0.87 eV/f.u.
ρ ... 9972 kg/m3